Density functional theory data (PBE) for a relaxed LaCdAu crystal.

a = 7.878 Å, b = 7.878 Å, c = 4.243 Å
α = 90.00°, β = 90.00°, γ = 120.00°
Atoms (fractional coordinates):
La  0.000  0.590  0.000
La  0.410  0.410  0.000
La  0.590  0.000  0.000
Cd  0.000  0.249  0.500
Cd  0.249  0.000  0.500
Cd  0.751  0.751  0.500
Au  0.000  0.000  0.000
Au  0.333  0.667  0.500
Au  0.667  0.333  0.500

Calculated values
SG ... No. 189
E_form ... -2.05 eV/f.u.

=====

Density functional theory data (PBE) for a relaxed LiLaCd2Au4 crystal.

a = 4.943 Å, b = 4.943 Å, c = 6.873 Å
α = 90.00°, β = 90.00°, γ = 90.00°
Atoms (fractional coordinates):
Li  0.000  0.000  0.000
La  0.500  0.500  0.500
Cd  0.000  0.000  0.500
Cd  0.500  0.500  0.000
Au  0.000  0.500  0.219
Au  0.000  0.500  0.781
Au  0.500  0.000  0.219
Au  0.500  0.000  0.781

Calculated values
E_tot ... -3.21 eV per atom
SG ... No. 123

=====

Density functional theory data (PBE) for a relaxed LaNdCd2Au4 crystal.

a = 5.067 Å, b = 5.067 Å, c = 7.177 Å
α = 90.00°, β = 90.00°, γ = 90.00°
Atoms (fractional coordinates):
La  0.000  0.000  0.000
Nd  0.500  0.500  0.500
Cd  0.000  0.000  0.500
Cd  0.500  0.500  0.000
Au  0.000  0.500  0.253
Au  0.000  0.500  0.747
Au  0.500  0.000  0.253
Au  0.500  0.000  0.747

Calculated values
SG ... No. 123
E_form ... -5.29 eV/f.u.